1.
DFT (PBE) results for a relaxed structure of LaPmS3.

a b c (Å): 4.5537 8.2446 8.4593
angles (deg): 97.46 90.00 106.03
Last column: nearest neighbours and their distance in Å.
Atoms (fractional coordinates):
La: 0.1242 0.2484 0.9107  6 S 2.73-3.02
La: 0.8758 0.7516 0.0893  6 S 2.73-3.02
Pm: 0.3513 0.7026 0.6345  6 S 2.71-2.93
Pm: 0.6487 0.2974 0.3655  6 S 2.71-2.93
S: 0.9502 0.9004 0.7787  2 La 2.83-3.02, 2 Pm 2.93
S: 0.0498 0.0996 0.2213  2 La 2.83-3.02, 2 Pm 2.93
S: 0.6859 0.3717 0.0616  1 Pm 2.71, 3 La 2.73-2.99
S: 0.3141 0.6283 0.9384  1 Pm 2.71, 3 La 2.73-2.99
S: 0.8263 0.6526 0.4161  3 Pm 2.79-2.93, 1 La 2.97
S: 0.1737 0.3474 0.5839  3 Pm 2.79-2.93, 1 La 2.97

Calculated values
- Fermi-level density of states (states/eV/cell) = 0.00
- ρ (Mg/m³) = 4.17
- ΔE_f (raw) (eV per atom) = -1.994
- crystal system = monoclinic
- V (Å³ per atom) = 30.2
- calculated total energy (eV per atom) = -6.41
- excess energy over the best structure of this formula in the dataset (eV/f.u.) = 0.76

***

2.
DFT (PBE) results for a relaxed structure of Tb4Pm5Tm.

a b c (Å): 3.5974 10.4389 9.2723
angles (deg): 84.05 101.19 90.00
Last column: nearest neighbours and their distance in Å.
Atoms (fractional coordinates):
Tb: 0.3177 0.9125 0.6354  6 Tb 3.34-3.60, 1 Tm 3.53, 1 Pm 3.66
Tb: 0.9553 0.7626 0.9107  2 Tm 3.23, 4 Pm 3.30-3.41, 4 Tb 3.34-3.60
Tb: 0.6823 0.0875 0.3646  6 Tb 3.34-3.60, 1 Tm 3.53, 1 Pm 3.66
Tb: 0.0447 0.2374 0.0893  2 Tm 3.23, 4 Pm 3.30-3.41, 4 Tb 3.34-3.60
Pm: 0.8107 0.5964 0.6214  1 Tb 3.30, 4 Pm 3.60-3.62
Pm: 0.8579 0.2304 0.7157  2 Tb 3.41-3.66, 2 Pm 3.60, 2 Tm 3.79
Pm: 0.1421 0.7696 0.2843  2 Tb 3.41-3.66, 2 Pm 3.60, 2 Tm 3.79
Pm: 0.5000 0.5000 0.0000  4 Tb 3.31, 2 Pm 3.60
Pm: 0.1893 0.4036 0.3786  1 Tb 3.30, 4 Pm 3.60-3.62
Tm: 0.5000 0.0000 0.0000  6 Tb 3.23-3.53, 2 Tm 3.60

Calculated values
- Fermi-level density of states (states/eV/cell) = 14.41
- formation energy (eV/atom) = 0.1466
- ρ (Mg/m³) = 7.48
- crystal system = monoclinic
- V (Å³ per atom) = 34.0
- calculated total energy (eV per atom) = -4.53
- excess energy over the best structure of this formula in the dataset (eV/f.u.) = 1.10

***

3.
DFT (PBE) results for a relaxed structure of Br2Cl.

a b c (Å): 6.9488 6.9488 2.4883
angles (deg): 90.00 90.00 120.00
Last column: nearest neighbours and their distance in Å.
Atoms (fractional coordinates):
Br: 0.0000 0.0000 0.8234  2 Br 2.49
Br: 0.3333 0.6667 0.8432  2 Br 2.49
Cl: 0.6667 0.3333 0.3333  2 Cl 2.49

Calculated values
- Fermi-level density of states (states/eV/cell) = 3.87
- ρ (Mg/m³) = 3.12
- ΔE_f (raw) (eV per atom) = 0.179
- crystal system = trigonal
- V (Å³ per atom) = 34.7
- calculated total energy (eV per atom) = -1.55
- excess energy over the best structure of this formula in the dataset (eV/f.u.) = 0.40

***

4.
DFT (PBE) results for a relaxed structure of Li3PmSc4Se8.

a b c (Å): 7.8041 7.9453 7.8044
angles (deg): 119.42 120.00 90.00
Last column: nearest neighbours and their distance in Å.
Atoms (fractional coordinates):
Li: 0.5000 0.5000 0.0000  6 Se 2.80-2.82
Li: 0.5000 0.5000 0.5000  6 Se 2.80-2.82
Li: 0.0000 0.5000 0.5000  6 Se 2.80-2.82
Pm: 0.0000 0.5000 0.0000  6 Se 2.88
Sc: 0.5000 0.0000 0.0000  6 Se 2.69
Sc: 0.5000 0.0000 0.5000  6 Se 2.74-2.77
Sc: 0.0000 0.0000 0.0000  6 Se 2.74-2.77
Sc: 0.0000 0.0000 0.5000  6 Se 2.74-2.77
Se: 0.2582 0.7604 0.0022  3 Sc 2.69-2.77, 2 Li 2.80, 1 Pm 2.88
Se: 0.2582 0.7604 0.5163  3 Sc 2.69-2.77, 2 Li 2.80, 1 Pm 2.88
Se: 0.2465 0.2396 0.4931  3 Sc 2.74, 3 Li 2.82
Se: 0.7441 0.7604 0.0022  3 Sc 2.69-2.77, 2 Li 2.80, 1 Pm 2.88
Se: 0.2559 0.2396 0.9978  3 Sc 2.69-2.77, 2 Li 2.80, 1 Pm 2.88
Se: 0.7535 0.7604 0.5069  3 Sc 2.74, 3 Li 2.82
Se: 0.7418 0.2396 0.4837  3 Sc 2.69-2.77, 2 Li 2.80, 1 Pm 2.88
Se: 0.7418 0.2396 0.9978  3 Sc 2.69-2.77, 2 Li 2.80, 1 Pm 2.88

Calculated values
- Fermi-level density of states (states/eV/cell) = 4.71
- ρ (Mg/m³) = 4.70
- ΔE_f (raw) (eV per atom) = -1.634
- crystal system = trigonal
- V (Å³ per atom) = 21.6
- calculated total energy (eV per atom) = -5.61

***

5.
DFT (PBE) results for a relaxed structure of TmPaZnCu.

a b c (Å): 4.9256 4.9256 4.9256
angles (deg): 60.00 60.00 60.00
Last column: nearest neighbours and their distance in Å.
Atoms (fractional coordinates):
Zn: 0.2500 0.2500 0.2500  4 Pa 3.02, 4 Tm 3.02
Pa: 0.0000 0.0000 0.0000  4 Cu 3.02, 4 Zn 3.02
Tm: 0.5000 0.5000 0.5000  4 Zn 3.02, 4 Cu 3.02
Cu: 0.7500 0.7500 0.7500  4 Pa 3.02, 4 Tm 3.02

Calculated values
- Fermi-level density of states (states/eV/cell) = 6.54
- formation energy (eV/atom) = 0.0188
- ρ (Mg/m³) = 10.39
- crystal system = cubic
- V (Å³ per atom) = 21.1
- calculated total energy (eV per atom) = -4.82

***

6.
DFT (PBE) results for a relaxed structure of Pr3Cd4Ga2.

a b c (Å): 4.8796 6.1285 9.2222
angles (deg): 113.21 90.00 113.46
Last column: nearest neighbours and their distance in Å.
Atoms (fractional coordinates):
Pr: 0.6665 0.3329 0.6675  8 Cd 3.28-3.46, 4 Ga 3.34-3.40
Pr: 0.0000 0.0000 0.0000  8 Cd 3.27-3.49, 4 Ga 3.35
Pr: 0.3335 0.6671 0.3325  8 Cd 3.28-3.46, 4 Ga 3.34-3.40
Cd: 0.7069 0.4138 0.0443  1 Ga 2.79, 2 Cd 2.87
Cd: 0.2931 0.5862 0.9557  1 Ga 2.79, 2 Cd 2.87
Cd: 0.9303 0.8607 0.6009  2 Ga 2.81, 1 Cd 2.90
Cd: 0.0697 0.1393 0.3991  2 Ga 2.81, 1 Cd 2.90
Ga: 0.6074 0.2148 0.2745  3 Cd 2.79-2.81
Ga: 0.3926 0.7852 0.7255  3 Cd 2.79-2.81

Calculated values
- Fermi-level density of states (states/eV/cell) = 5.79
- formation energy (eV/atom) = -0.4229
- ρ (Mg/m³) = 7.35
- crystal system = monoclinic
- V (Å³ per atom) = 25.4
- calculated total energy (eV per atom) = -3.10

***

7.
DFT (PBE) results for a relaxed structure of Gd2LuCo.

a b c (Å): 3.4320 3.4320 8.6737
angles (deg): 90.00 90.00 90.00
Last column: nearest neighbours and their distance in Å.
Atoms (fractional coordinates):
Gd: 0.0000 0.0000 0.8111  4 Co 2.93, 1 Gd 3.28
Gd: 0.0000 0.0000 0.1889  4 Co 2.93, 1 Gd 3.28
Lu: 0.5000 0.5000 0.5000  4 Lu 3.43, 8 Gd 3.63
Co: 0.5000 0.5000 0.0000  8 Gd 2.93

Calculated values
- Fermi-level density of states (states/eV/cell) = 6.70
- formation energy (eV/atom) = -0.0035
- ρ (Mg/m³) = 8.91
- crystal system = tetragonal
- V (Å³ per atom) = 25.5
- calculated total energy (eV per atom) = -9.95

***

8.
DFT (PBE) results for a relaxed structure of PaNiTe.

a b c (Å): 4.1427 5.1764 6.5647
angles (deg): 90.01 90.00 90.00
Last column: nearest neighbours and their distance in Å.
Atoms (fractional coordinates):
Pa: 0.2528 0.4181 0.1582  4 Ni 2.60-2.72
Pa: 0.7528 0.9181 0.8458  4 Ni 2.60-2.72
Ni: 0.7528 0.4181 0.8897  2 Te 2.56-2.57, 4 Pa 2.60-2.72
Ni: 0.2529 0.9181 0.1141  2 Te 2.57, 4 Pa 2.60-2.72
Te: 0.7529 0.9185 0.3447  2 Ni 2.57
Te: 0.2528 0.4185 0.6592  2 Ni 2.56-2.57

Calculated values
- Fermi-level density of states (states/eV/cell) = 6.45
- ρ (Mg/m³) = 9.85
- ΔE_f (raw) (eV per atom) = -0.494
- crystal system = orthorhombic
- V (Å³ per atom) = 23.5
- calculated total energy (eV per atom) = -6.63
- excess energy over the best structure of this formula in the dataset (eV/f.u.) = 0.24